This record from Alexandria describes a crystal of MgAl2InRu relaxed with PBEsol. The functional is meta-GGA SCAN.

Cell and atoms, written as POSCAR:
```
MgAl2InRu
1.0
4.931 0.000 0.000
0.000 4.931 0.000
0.000 0.000 4.946
Mg Al In Ru
1 2 1 1
Direct
0.000 0.000 0.000
0.000 0.500 0.500
0.500 0.000 0.500
0.500 0.500 0.500
0.500 0.500 0.000
```

Results
ΔH_f (0 K) in eV per atom: 1.154
Total magnetic moment in Bohr magnetons per cell: 0.003
Density of states at the Fermi level in states/eV/cell: 3.8